one) Computed, not measured: a relaxed Tc2BiN crystal at the PBE level of DFT.

a b c (Å): 6.2613 6.2613 6.2613
angles (deg): 90.00 90.00 90.00
Space group Fm-3m (No. 225)
Unique sites:
Tc1 0.2500 0.2500 0.2500 [8 per cell]
Bi1 0.0000 0.0000 0.0000 [4 per cell]
N1 0.0000 0.0000 0.5000 [4 per cell]

Calculated values
As for the volume: 15.342 Å³/atom.

two) Computed, not measured: a relaxed Tc2BiN crystal at the PBE level of DFT.

a b c (Å): 5.6007 5.6007 9.2584
angles (deg): 90.00 90.00 90.00
Space group I-42d (No. 122)
Unique sites:
Tc1 0.1187 0.2500 0.1250 [8 per cell]
Bi1 0.0000 0.0000 0.5000 [4 per cell]
N1 0.0000 0.0000 0.0000 [4 per cell]

Calculated values
As for the volume: 18.151 Å³/atom.

Stability summary: most stable two), least stable one).

one) Computed, not measured: a relaxed Bi4Te3N2 crystal at the PBE level of DFT.

a b c (Å): 15.4419 4.1289 9.6599
angles (deg): 90.00 122.94 90.00
Space group C2/m (No. 12)
Unique sites:
Bi1 0.1372 0.0000 0.4263 [4 per cell]
Bi2 0.1847 0.5000 0.1274 [4 per cell]
Te1 0.0000 0.0000 0.0000 [2 per cell]
Te2 0.1383 0.5000 0.7236 [4 per cell]
N1 0.1930 0.5000 0.3704 [4 per cell]

Calculated values
As for the volume: 28.715 Å³/atom.

two) Computed, not measured: a relaxed Bi4Te3N2 crystal at the PBE level of DFT.

a b c (Å): 7.6636 16.3793 4.1334
angles (deg): 90.00 90.00 90.00
Space group Pnnm (No. 58)
Unique sites:
Bi1 0.1925 0.0612 0.0000 [4 per cell]
Bi2 0.2038 0.8569 0.5000 [4 per cell]
Te1 0.0000 0.5000 0.0000 [2 per cell]
Te2 0.1617 0.2174 0.5000 [4 per cell]
N1 0.1087 0.9255 0.0000 [4 per cell]

Calculated values
As for the volume: 28.825 Å³/atom.

Stability summary: most stable one), least stable two).

one) Computed, not measured: a relaxed BiTe2N2 crystal at the PBE level of DFT.

a b c (Å): 4.4575 4.4589 11.7428
angles (deg): 98.30 97.72 104.74
Space group P-1 (No. 2)
Unique sites:
Bi1 0.0000 0.0000 0.0000 [1 per cell]
Te1 0.3379 0.5375 0.8735 [2 per cell]
N1 0.0812 0.4375 0.5198 [2 per cell]

Calculated values
As for the volume: 43.951 Å³/atom.

two) Computed, not measured: a relaxed BiTe2N2 crystal at the PBE level of DFT.

a b c (Å): 4.2794 4.2794 5.9037
angles (deg): 90.00 90.00 90.00
Space group P4/mmm (No. 123)
Unique sites:
Bi1 0.0000 0.0000 0.0000 [1 per cell]
Te1 0.5000 0.5000 0.0000 [1 per cell]
Te2 0.5000 0.5000 0.5000 [1 per cell]
N1 0.0000 0.5000 0.5000 [2 per cell]

Calculated values
As for the volume: 21.624 Å³/atom.

three) Computed, not measured: a relaxed BiTe2N2 crystal at the PBE level of DFT.

a b c (Å): 4.3703 4.3703 7.1442
angles (deg): 90.00 90.00 90.00
Space group P4/mmm (No. 123)
Unique sites:
Bi1 0.0000 0.0000 0.0000 [1 per cell]
Te1 0.0000 0.0000 0.5000 [1 per cell]
Te2 0.5000 0.5000 0.5000 [1 per cell]
N1 0.0000 0.5000 0.0000 [2 per cell]

Calculated values
As for the volume: 27.290 Å³/atom.

Stability summary: most stable one), least stable three).

one) Computed, not measured: a relaxed BiTe2N2 crystal at the PBE level of DFT.

a b c (Å): 4.7090 4.7090 4.4613
angles (deg): 90.00 90.00 90.00
Space group P4/mmm (No. 123)
Unique sites:
Bi1 0.0000 0.0000 0.0000 [1 per cell]
Te1 0.0000 0.5000 0.5000 [2 per cell]
N1 0.5000 0.5000 0.0000 [1 per cell]
N2 0.5000 0.5000 0.5000 [1 per cell]

Calculated values
As for the volume: 19.786 Å³/atom.

two) Computed, not measured: a relaxed BiTe2N2 crystal at the PBE level of DFT.

a b c (Å): 6.0884 6.0884 4.6355
angles (deg): 90.00 90.00 90.00
Space group P4/mmm (No. 123)
Unique sites:
Bi1 0.0000 0.0000 0.0000 [1 per cell]
Te1 0.0000 0.5000 0.0000 [2 per cell]
N1 0.0000 0.0000 0.5000 [1 per cell]
N2 0.5000 0.5000 0.5000 [1 per cell]

Calculated values
As for the volume: 34.367 Å³/atom.

Stability summary: most stable one), least stable two).

one) Computed, not measured: a relaxed BiTeN crystal at the PBE level of DFT.

a b c (Å): 12.1536 4.6129 8.9203
angles (deg): 90.00 99.46 90.00
Space group P2_1/c (No. 14)
Unique sites:
Bi1 0.1378 0.2499 0.1557 [4 per cell]
Te1 0.1189 0.7499 0.3949 [4 per cell]
N1 0.4983 0.0819 0.4538 [4 per cell]

Calculated values
As for the volume: 41.108 Å³/atom.

two) Computed, not measured: a relaxed BiTeN crystal at the PBE level of DFT.

a b c (Å): 4.0843 4.0843 9.7981
angles (deg): 90.00 90.00 90.00
Space group P4/nmm (No. 129, origin choice 2)
Unique sites:
Bi1 0.2500 0.2500 0.1138 [2 per cell]
Te1 0.2500 0.2500 0.5449 [2 per cell]
N1 0.2500 0.7500 0.0000 [2 per cell]

Calculated values
As for the volume: 27.241 Å³/atom.

three) Computed, not measured: a relaxed BiTeN crystal at the PBE level of DFT.

a b c (Å): 3.2841 5.8509 8.0892
angles (deg): 96.65 90.07 90.02
Space group P-1 (No. 2)
Unique sites:
Bi1 0.2503 0.2499 0.1006 [2 per cell]
Te1 0.2493 0.2255 0.7047 [2 per cell]
N1 0.2507 0.0031 0.3142 [2 per cell]

Calculated values
As for the volume: 25.732 Å³/atom.

Stability summary: most stable one), least stable three).

one) Computed, not measured: a relaxed BiTe2N crystal at the PBE level of DFT.

a b c (Å): 4.5725 4.5725 23.0619
angles (deg): 90.00 90.00 120.00
Space group R-3m (No. 166, hexagonal axes)
Unique sites:
Bi1 0.0000 0.0000 0.0000 [3 per cell]
Te1 0.0000 0.0000 0.4157 [6 per cell]
N1 0.0000 0.0000 0.5000 [3 per cell]

Calculated values
As for the volume: 34.798 Å³/atom.

two) Computed, not measured: a relaxed BiTe2N crystal at the PBE level of DFT.

a b c (Å): 7.2628 7.2628 7.2628
angles (deg): 90.00 90.00 90.00
Space group Fm-3m (No. 225)
Unique sites:
Bi1 0.0000 0.0000 0.0000 [4 per cell]
Te1 0.2500 0.2500 0.2500 [8 per cell]
N1 0.0000 0.0000 0.5000 [4 per cell]

Calculated values
As for the volume: 23.944 Å³/atom.

three) Computed, not measured: a relaxed BiTe2N crystal at the PBE level of DFT.

a b c (Å): 3.4830 3.4830 26.3385
angles (deg): 90.00 90.00 120.00
Space group R-3m (No. 166, hexagonal axes)
Unique sites:
Bi1 0.0000 0.0000 0.0000 [3 per cell]
Te1 0.0000 0.0000 0.2259 [6 per cell]
N1 0.0000 0.0000 0.5000 [3 per cell]

Calculated values
As for the volume: 23.059 Å³/atom.

Stability summary: most stable one), least stable two).